1.
## ZrNiAgAs2 (GGA-PBE)

Data for a geometry-optimized ZrNiAgAs2 structure.

SG: P4/mmm
Energy of formation in meV/atom: 949
Total moment in Bohr magnetons per cell: 1.1
Density in g cm⁻³: 4.843
Total DFT energy (no corrections) in eV/f.u.: -21.733

a = 5.0886 Å, b = 5.0886 Å, c = 5.3977 Å
α = 90.00°, β = 90.00°, γ = 90.00°
Fractional positions:
Zr: 0.0000 0.0000 0.0000
Ni: 0.5000 0.5000 0.5000
Ag: 0.0000 0.0000 0.5000
As: 0.0000 0.5000 0.0000
As: 0.5000 0.0000 0.0000

---

2.
## ScMn2 (GGA-PBE)

Data for a geometry-optimized ScMn2 structure.

SG: Cmcm
Energy of formation in meV/atom: 371
Total moment in Bohr magnetons per cell: 11.1
Density in g cm⁻³: 5.290
Total DFT energy (no corrections) in eV/f.u.: -23.556

a = 7.5706 Å, b = 7.5706 Å, c = 4.5594 Å
α = 90.00°, β = 90.00°, γ = 158.16°
Fractional positions:
Sc: 0.2064 0.7936 0.7500
Sc: 0.7936 0.2064 0.2500
Mn: 0.1069 0.8931 0.2500
Mn: 0.4531 0.5469 0.2500
Mn: 0.5469 0.4531 0.7500
Mn: 0.8931 0.1069 0.7500

---

What is the formula in the first record?
ZrNiAgAs2

---

The lowest density belongs to which entry?
ZrNiAgAs2

---

What did the first record say?
## ZrNiAgAs2 (GGA-PBE)

Data for a geometry-optimized ZrNiAgAs2 structure.

SG: P4/mmm
Energy of formation in meV/atom: 949
Total moment in Bohr magnetons per cell: 1.1
Density in g cm⁻³: 4.843
Total DFT energy (no corrections) in eV/f.u.: -21.733

a = 5.0886 Å, b = 5.0886 Å, c = 5.3977 Å
α = 90.00°, β = 90.00°, γ = 90.00°
Fractional positions:
Zr: 0.0000 0.0000 0.0000
Ni: 0.5000 0.5000 0.5000
Ag: 0.0000 0.0000 0.5000
As: 0.0000 0.5000 0.0000
As: 0.5000 0.0000 0.0000